Model one:
A PBEsol-optimized structure of Mg2SiO4. Source: Alexandria, functional SCAN.

* D(E_F): 0.0 states/eV/f.u.
* volume: 66.1 Å³/f.u.
* mass density: 3.53 Mg/m³

a b c (Å): 5.718 5.718 5.718
angles (deg): 60.00 60.00 60.00
Atoms (fractional coordinates):
1 Mg 0.625 0.625 0.625
2 Mg 0.625 0.625 0.125
3 Mg 0.125 0.625 0.625
4 Mg 0.625 0.125 0.625
5 O 0.881 0.881 0.881
6 O 0.881 0.881 0.358
7 O 0.358 0.881 0.881
8 O 0.881 0.358 0.881
9 O 0.369 0.369 0.892
10 O 0.369 0.369 0.369
11 O 0.892 0.369 0.369
12 O 0.369 0.892 0.369
13 Si 0.250 0.250 0.250
14 Si 0.000 0.000 0.000


Model two:
A PBEsol-optimized structure of Mg2SiO4. Source: Alexandria, functional SCAN.

* D(E_F): 0.0 states/eV/f.u.
* volume: 77.1 Å³/f.u.
* mass density: 3.03 Mg/m³

a b c (Å): 5.860 5.860 5.860
angles (deg): 107.19 107.19 114.13
Atoms (fractional coordinates):
1 Mg 0.125 0.679 0.054
2 Mg 0.625 0.071 0.946
3 Mg 0.929 0.875 0.554
4 Mg 0.321 0.375 0.446
5 Si 0.500 0.500 0.000
6 Si 0.750 0.250 0.500
7 O 0.821 0.143 0.727
8 O 0.429 0.656 0.822
9 O 0.416 0.094 0.273
10 O 0.834 0.607 0.178
11 O 0.906 0.179 0.322
12 O 0.344 0.166 0.773
13 O 0.857 0.584 0.678
14 O 0.393 0.571 0.227


Model three:
A PBEsol-optimized structure of Mg2SiO4. Source: Alexandria, functional SCAN.

* D(E_F): 0.0 states/eV/f.u.
* volume: 67.8 Å³/f.u.
* mass density: 3.44 Mg/m³

a b c (Å): 5.716 7.630 7.630
angles (deg): 65.68 68.00 68.00
Atoms (fractional coordinates):
1 Mg 0.000 0.000 0.000
2 Mg 0.500 0.500 0.500
3 Mg 0.750 0.279 0.221
4 Mg 0.250 0.721 0.779
5 Mg 0.123 0.877 0.377
6 Mg 0.377 0.123 0.623
7 Mg 0.877 0.123 0.623
8 Mg 0.623 0.877 0.377
9 O 0.750 0.033 0.467
10 O 0.250 0.967 0.533
11 O 0.750 0.533 0.967
12 O 0.250 0.467 0.033
13 O 0.010 0.736 0.245
14 O 0.490 0.255 0.764
15 O 0.510 0.745 0.236
16 O 0.990 0.264 0.755
17 O 0.138 0.129 0.116
18 O 0.362 0.384 0.371
19 O 0.117 0.616 0.629
20 O 0.383 0.871 0.884
21 O 0.862 0.871 0.884
22 O 0.638 0.616 0.629
23 O 0.883 0.384 0.371
24 O 0.617 0.129 0.116
25 Si 0.880 0.503 0.736
26 Si 0.620 0.764 0.997
27 Si 0.380 0.236 0.003
28 Si 0.120 0.497 0.264


Which structure wins on stability? model three wins.


Model one:
A PBEsol-optimized structure of Mg2SiO4. Source: Alexandria, functional SCAN.

* D(E_F): 0.0 states/eV/f.u.
* volume: 73.5 Å³/f.u.
* mass density: 3.18 Mg/m³

a b c (Å): 4.798 5.949 5.949
angles (deg): 120.00 90.00 90.00
Atoms (fractional coordinates):
1 Mg 0.000 0.000 0.000
2 Mg 0.500 0.500 0.000
3 Mg 0.500 0.500 0.500
4 Mg 0.500 0.000 0.500
5 O 0.777 0.188 0.375
6 O 0.223 0.812 0.625
7 O 0.733 0.667 0.333
8 O 0.267 0.333 0.667
9 O 0.777 0.625 0.812
10 O 0.223 0.812 0.188
11 O 0.223 0.375 0.188
12 O 0.777 0.188 0.812
13 Si 0.072 0.667 0.333
14 Si 0.928 0.333 0.667


Model two:
A PBEsol-optimized structure of Mg2SiO4. Source: Alexandria, functional SCAN.

* D(E_F): 0.0 states/eV/f.u.
* volume: 72.9 Å³/f.u.
* mass density: 3.20 Mg/m³

a b c (Å): 4.769 5.991 10.208
angles (deg): 90.00 90.00 90.00
Atoms (fractional coordinates):
1 Mg 0.000 0.000 0.000
2 Mg 0.500 0.000 0.500
3 Mg 0.000 0.500 0.000
4 Mg 0.500 0.500 0.500
5 Mg 0.009 0.250 0.277
6 Mg 0.509 0.750 0.223
7 Mg 0.991 0.750 0.723
8 Mg 0.491 0.250 0.777
9 O 0.232 0.250 0.092
10 O 0.732 0.750 0.408
11 O 0.768 0.750 0.908
12 O 0.268 0.250 0.592
13 O 0.778 0.250 0.446
14 O 0.278 0.750 0.054
15 O 0.222 0.750 0.554
16 O 0.722 0.250 0.946
17 O 0.724 0.032 0.163
18 O 0.224 0.968 0.337
19 O 0.276 0.532 0.837
20 O 0.776 0.468 0.663
21 O 0.276 0.968 0.837
22 O 0.776 0.032 0.663
23 O 0.724 0.468 0.163
24 O 0.224 0.532 0.337
25 Si 0.573 0.250 0.094
26 Si 0.073 0.750 0.406
27 Si 0.427 0.750 0.906
28 Si 0.927 0.250 0.594


Which structure wins on stability? model two wins.


Model one:
A PBEsol-optimized structure of MgTi11O20. Source: Alexandria, functional SCAN.

* D(E_F): 10.3 states/eV/f.u.
* volume: 364.4 Å³/f.u.
* mass density: 3.97 Mg/m³

a b c (Å): 7.461 9.943 10.394
angles (deg): 90.00 109.05 90.00
Atoms (fractional coordinates):
1 Mg 0.653 0.250 0.773
2 Mg 0.347 0.750 0.227
3 Ti 0.680 0.940 0.730
4 Ti 0.680 0.560 0.730
5 Ti 0.354 0.750 0.724
6 Ti 0.318 0.060 0.776
7 Ti 0.318 0.440 0.776
8 Ti 0.185 0.561 0.974
9 Ti 0.682 0.560 0.224
10 Ti 0.185 0.939 0.974
11 Ti 0.682 0.940 0.224
12 Ti 0.646 0.250 0.276
13 Ti 0.146 0.250 0.025
14 Ti 0.854 0.750 0.975
15 Ti 0.320 0.060 0.270
16 Ti 0.815 0.061 0.026
17 Ti 0.320 0.440 0.270
18 Ti 0.815 0.439 0.026
19 Ti 0.183 0.936 0.477
20 Ti 0.183 0.564 0.477
21 Ti 0.157 0.250 0.525
22 Ti 0.843 0.750 0.475
23 Ti 0.817 0.064 0.523
24 Ti 0.817 0.436 0.523
25 O 0.731 0.386 0.659
26 O 0.731 0.114 0.659
27 O 0.409 0.934 0.635
28 O 0.409 0.566 0.635
29 O 0.645 0.750 0.789
30 O 0.358 0.250 0.699
31 O 0.593 0.064 0.860
32 O 0.593 0.436 0.860
33 O 0.280 0.623 0.837
34 O 0.280 0.877 0.837
35 O 0.720 0.377 0.163
36 O 0.720 0.123 0.163
37 O 0.227 0.123 0.915
38 O 0.227 0.377 0.915
39 O 0.911 0.566 0.888
40 O 0.911 0.934 0.888
41 O 0.407 0.936 0.140
42 O 0.407 0.564 0.140
43 O 0.642 0.750 0.301
44 O 0.131 0.750 0.042
45 O 0.355 0.250 0.211
46 O 0.869 0.250 0.958
47 O 0.591 0.066 0.365
48 O 0.591 0.434 0.365
49 O 0.089 0.066 0.112
50 O 0.089 0.434 0.112
51 O 0.269 0.614 0.341
52 O 0.773 0.623 0.085
53 O 0.773 0.877 0.085
54 O 0.269 0.886 0.341
55 O 0.224 0.381 0.413
56 O 0.224 0.119 0.413
57 O 0.904 0.567 0.390
58 O 0.904 0.933 0.390
59 O 0.130 0.750 0.546
60 O 0.870 0.250 0.454
61 O 0.096 0.067 0.610
62 O 0.096 0.433 0.610
63 O 0.776 0.619 0.587
64 O 0.776 0.881 0.587


Model two:
A PBEsol-optimized structure of MgTi11O20. Source: Alexandria, functional SCAN.

* D(E_F): 13.3 states/eV/f.u.
* volume: 363.1 Å³/f.u.
* mass density: 3.98 Mg/m³

a b c (Å): 5.227 7.465 10.585
angles (deg): 105.59 97.30 109.85
Atoms (fractional coordinates):
1 Mg 0.086 0.479 0.000
2 Ti 0.672 0.402 0.187
3 Ti 0.169 0.905 0.196
4 Ti 0.832 0.092 0.304
5 Ti 0.335 0.597 0.314
6 Ti 0.485 0.215 0.813
7 Ti 0.973 0.709 0.804
8 Ti 0.021 0.283 0.686
9 Ti 0.528 0.787 0.696
10 Ti 0.568 0.970 0.000
11 Ti 0.420 0.023 0.495
12 Ti 0.925 0.529 0.505
13 O 0.706 0.255 0.000
14 O 0.223 0.770 0.000
15 O 0.765 0.246 0.503
16 O 0.262 0.743 0.497
17 O 0.635 0.534 0.370
18 O 0.138 0.045 0.380
19 O 0.861 0.963 0.125
20 O 0.376 0.465 0.137
21 O 0.758 0.665 0.620
22 O 0.265 0.164 0.630
23 O 0.736 0.838 0.875
24 O 0.239 0.328 0.863
25 O 0.004 0.376 0.319
26 O 0.522 0.873 0.318
27 O 0.491 0.127 0.187
28 O 0.001 0.627 0.188
29 O 0.203 0.555 0.682
30 O 0.685 0.057 0.681
31 O 0.304 0.940 0.813
32 O 0.813 0.439 0.812


Which structure wins on stability? model one wins.


Model one:
A PBEsol-optimized structure of Mg2Ti3O8. Source: Alexandria, functional SCAN.

* D(E_F): 0.0 states/eV/f.u.
* volume: 140.6 Å³/f.u.
* mass density: 3.78 Mg/m³

a b c (Å): 4.926 5.922 5.952
angles (deg): 119.83 108.12 90.00
Atoms (fractional coordinates):
1 Mg 0.652 0.724 0.448
2 Mg 0.348 0.276 0.552
3 Ti 0.500 0.000 0.000
4 Ti 0.000 0.267 0.000
5 Ti 0.000 0.733 0.000
6 O 0.080 0.394 0.788
7 O 0.920 0.606 0.212
8 O 0.082 0.892 0.783
9 O 0.918 0.108 0.217
10 O 0.405 0.890 0.231
11 O 0.405 0.341 0.231
12 O 0.595 0.659 0.769
13 O 0.595 0.110 0.769


Model two:
A PBEsol-optimized structure of Mg2Ti3O8. Source: Alexandria, functional SCAN.

* D(E_F): 0.0 states/eV/f.u.
* volume: 141.5 Å³/f.u.
* mass density: 3.76 Mg/m³

a b c (Å): 5.910 5.910 9.356
angles (deg): 90.00 90.00 120.00
Atoms (fractional coordinates):
1 Mg 0.667 0.333 0.476
2 Mg 0.333 0.667 0.976
3 Mg 0.667 0.333 0.083
4 Mg 0.333 0.667 0.583
5 Ti 0.163 0.326 0.256
6 Ti 0.837 0.163 0.756
7 Ti 0.674 0.837 0.256
8 Ti 0.326 0.163 0.756
9 Ti 0.837 0.674 0.756
10 Ti 0.163 0.837 0.256
11 O 0.836 0.164 0.354
12 O 0.164 0.327 0.854
13 O 0.673 0.836 0.854
14 O 0.327 0.164 0.354
15 O 0.836 0.673 0.354
16 O 0.164 0.836 0.854
17 O 0.519 0.481 0.633
18 O 0.481 0.962 0.133
19 O 0.038 0.519 0.133
20 O 0.962 0.481 0.633
21 O 0.000 0.000 0.147
22 O 0.000 0.000 0.647
23 O 0.333 0.667 0.369
24 O 0.519 0.038 0.633
25 O 0.481 0.519 0.133
26 O 0.667 0.333 0.869


Which structure wins on stability? model two wins.


Model one:
A PBEsol-optimized structure of Mg2V3O8. Source: Alexandria, functional SCAN.

* volume: 133.7 Å³/f.u.
* mass density: 4.09 Mg/m³

a b c (Å): 5.693 5.693 9.530
angles (deg): 90.00 90.00 120.00
Atoms (fractional coordinates):
1 Mg 0.333 0.667 0.985
2 Mg 0.667 0.333 0.485
3 Mg 0.333 0.667 0.566
4 Mg 0.667 0.333 0.066
5 V 0.156 0.311 0.254
6 V 0.155 0.844 0.254
7 V 0.689 0.845 0.254
8 V 0.311 0.156 0.754
9 V 0.844 0.155 0.754
10 V 0.845 0.689 0.754
11 O 0.000 0.000 0.632
12 O 0.000 0.000 0.132
13 O 0.667 0.333 0.860
14 O 0.333 0.667 0.360
15 O 0.163 0.325 0.860
16 O 0.325 0.163 0.360
17 O 0.837 0.163 0.360
18 O 0.163 0.837 0.860
19 O 0.675 0.837 0.860
20 O 0.837 0.675 0.360
21 O 0.484 0.967 0.140
22 O 0.967 0.484 0.640
23 O 0.516 0.484 0.640
24 O 0.484 0.516 0.140
25 O 0.033 0.516 0.140
26 O 0.516 0.033 0.640


Model two:
A PBEsol-optimized structure of Mg2V3O8. Source: Alexandria, functional SCAN.

* D(E_F): 0.1 states/eV/f.u.
* volume: 132.6 Å³/f.u.
* mass density: 4.12 Mg/m³

a b c (Å): 4.764 5.698 9.817
angles (deg): 90.00 95.61 90.00
Atoms (fractional coordinates):
1 Mg 0.076 0.501 0.732
2 Mg 0.562 0.006 0.233
3 Mg 0.438 0.006 0.767
4 Mg 0.924 0.501 0.268
5 V 0.500 0.515 0.000
6 V 0.000 0.002 0.500
7 V 0.500 0.294 0.500
8 V 0.000 0.744 0.000
9 V 0.000 0.201 0.000
10 V 0.500 0.716 0.500
11 O 0.815 0.994 0.889
12 O 0.299 0.505 0.386
13 O 0.701 0.505 0.614
14 O 0.185 0.994 0.111
15 O 0.817 0.489 0.893
16 O 0.303 0.006 0.396
17 O 0.697 0.006 0.604
18 O 0.183 0.489 0.107
19 O 0.216 0.774 0.614
20 O 0.711 0.271 0.110
21 O 0.218 0.234 0.615
22 O 0.695 0.734 0.118
23 O 0.289 0.271 0.890
24 O 0.784 0.774 0.386
25 O 0.305 0.734 0.882
26 O 0.782 0.234 0.385


Which structure wins on stability? model one wins.


Model one:
A PBEsol-optimized structure of Mg3V2O8. Source: Alexandria, functional SCAN.

* D(E_F): 0.0 states/eV/f.u.
* volume: 142.8 Å³/f.u.
* mass density: 3.52 Mg/m³

a b c (Å): 5.737 5.737 5.737
angles (deg): 63.13 63.13 63.13
Atoms (fractional coordinates):
1 Mg 0.500 0.500 0.000
2 Mg 0.000 0.500 0.500
3 Mg 0.500 0.000 0.500
4 V 0.876 0.876 0.876
5 V 0.124 0.124 0.124
6 O 0.237 0.774 0.237
7 O 0.744 0.744 0.744
8 O 0.763 0.763 0.226
9 O 0.226 0.763 0.763
10 O 0.237 0.237 0.774
11 O 0.774 0.237 0.237
12 O 0.763 0.226 0.763
13 O 0.256 0.256 0.256


Model two:
A PBEsol-optimized structure of Mg3V2O8. Source: Alexandria, functional SCAN.

* D(E_F): 0.0 states/eV/f.u.
* volume: 143.6 Å³/f.u.
* mass density: 3.50 Mg/m³

a b c (Å): 6.049 6.470 8.302
angles (deg): 90.00 90.00 117.87
Atoms (fractional coordinates):
1 Mg 0.000 0.000 0.500
2 Mg 0.500 0.000 0.000
3 Mg 0.386 0.272 0.750
4 Mg 0.114 0.728 0.250
5 Mg 0.886 0.272 0.750
6 Mg 0.614 0.728 0.250
7 V 0.380 0.761 0.620
8 V 0.620 0.239 0.380
9 V 0.120 0.239 0.120
10 V 0.880 0.761 0.880
11 O 0.654 0.765 0.999
12 O 0.889 0.235 0.001
13 O 0.846 0.235 0.499
14 O 0.611 0.765 0.501
15 O 0.346 0.235 0.001
16 O 0.111 0.765 0.999
17 O 0.154 0.765 0.501
18 O 0.389 0.235 0.499
19 O 0.503 0.006 0.754
20 O 0.497 0.994 0.246
21 O 0.252 0.504 0.726
22 O 0.748 0.496 0.274
23 O 0.248 0.496 0.226
24 O 0.752 0.504 0.774
25 O 0.003 0.006 0.746
26 O 0.997 0.994 0.254


Which structure wins on stability? model two wins.